--- w ---
Material: PmCuBr4
Method: DFT, PBE
State: optimized geometry Values from VASP.

```
&SYSTEM
  ibrav = 0, nat = 12, ntyp = 3
/
ATOMIC_SPECIES
Pm 145.00 Pm.upf
Cu 63.55 Cu.upf
Br 79.90 Br.upf
ATOMIC_POSITIONS crystal
Pm 0.000 0.500 0.000
Pm 0.500 0.000 0.500
Cu 0.135 0.865 0.250
Cu 0.865 0.135 0.750
Br 0.209 0.209 0.251
Br 0.209 0.209 0.751
Br 0.279 0.710 0.501
Br 0.290 0.721 0.999
Br 0.710 0.279 0.001
Br 0.721 0.290 0.499
Br 0.791 0.791 0.249
Br 0.791 0.791 0.749
CELL_PARAMETERS angstrom
5.457 -4.253 0.000
5.457 4.253 0.000
-0.166 0.000 8.166
```

- Total moment: 0.0 μB per formula unit

--- x ---
Material: PmCuBr4
Method: DFT, PBE
State: optimized geometry Values from VASP.

```
&SYSTEM
  ibrav = 0, nat = 12, ntyp = 3
/
ATOMIC_SPECIES
Pm 145.00 Pm.upf
Cu 63.55 Cu.upf
Br 79.90 Br.upf
ATOMIC_POSITIONS crystal
Pm 0.125 0.875 0.750
Pm 0.875 0.125 0.250
Cu 0.375 0.625 0.250
Cu 0.625 0.375 0.750
Br 0.172 0.817 0.059
Br 0.183 0.828 0.441
Br 0.243 0.388 0.561
Br 0.388 0.243 0.061
Br 0.612 0.757 0.939
Br 0.757 0.612 0.439
Br 0.817 0.172 0.559
Br 0.828 0.183 0.941
CELL_PARAMETERS angstrom
6.513 -4.381 0.000
6.513 4.381 0.000
-6.508 0.000 6.563
```

- Total moment: 0.0 μB per formula unit

Least stable = w

--- w ---
Material: Pm4Cu2Br5
Method: DFT, PBE
State: optimized geometry Values from VASP.

```
&SYSTEM
  ibrav = 0, nat = 11, ntyp = 3
/
ATOMIC_SPECIES
Pm 145.00 Pm.upf
Cu 63.55 Cu.upf
Br 79.90 Br.upf
ATOMIC_POSITIONS crystal
Pm 0.145 0.145 0.000
Pm 0.210 0.500 0.710
Pm 0.790 0.500 0.290
Pm 0.855 0.855 0.000
Cu 0.045 0.045 0.000
Cu 0.955 0.955 0.000
Br 0.059 0.326 0.733
Br 0.407 0.674 0.733
Br 0.500 0.000 0.500
Br 0.593 0.326 0.267
Br 0.941 0.674 0.267
CELL_PARAMETERS angstrom
-1.962 4.222 13.307
1.962 -4.222 13.307
1.962 4.222 -13.307
```

- Total moment: 0.0 μB per formula unit

--- x ---
Material: Pm4Cu2Br5
Method: DFT, PBE
State: optimized geometry Values from VASP.

```
&SYSTEM
  ibrav = 0, nat = 11, ntyp = 3
/
ATOMIC_SPECIES
Pm 145.00 Pm.upf
Cu 63.55 Cu.upf
Br 79.90 Br.upf
ATOMIC_POSITIONS crystal
Pm 0.019 0.019 0.292
Pm 0.339 0.339 0.543
Pm 0.661 0.661 0.457
Pm 0.981 0.981 0.708
Cu 0.450 0.450 0.466
Cu 0.550 0.550 0.534
Br 0.142 0.142 0.195
Br 0.218 0.218 0.680
Br 0.500 0.500 0.000
Br 0.782 0.782 0.320
Br 0.858 0.858 0.805
CELL_PARAMETERS angstrom
11.844 -1.955 0.000
11.844 1.955 0.000
-0.540 0.000 8.337
```

- Total moment: 0.0 μB per formula unit

Least stable = w